1.
The following is a PBE-GGA calculation of CrFe14Os after structural relaxation, from the Alexandria database.

The value obtained for the density of states at the Fermi level is 24.149 states/eV per cell. The calculation puts the calculated total energy at -277.60 eV per cell. Its calculated formation energy is 0.033 eV per atom. The size of the total moment is 31.23 μB per formula unit.

The space group is Cmmm (No. 65) and the conventional cell measures 5.7247, 8.1404 and 8.1004 Å, with angles of 90.00, 90.00 and 90.00 degrees. The asymmetric unit holds Cr at (0.0000, 0.0000, 0.0000), Fe at (0.0000, 0.0000, 0.5000), Fe at (0.0000, 0.2510, 0.2507), Fe at (0.0000, 0.5000, 0.5000), Fe at (0.2468, 0.0000, 0.2534), Fe at (0.2500, 0.2500, 0.0000), Fe at (0.2500, 0.2500, 0.5000) and Os at (0.0000, 0.5000, 0.0000).

2.
The following is a PBE-GGA calculation of CrFeOs after structural relaxation, from the Alexandria database.

The value obtained for the density of states at the Fermi level is 8.423 states/eV per cell. The calculation puts the calculated total energy at -57.64 eV per cell. Its calculated formation energy is 0.164 eV per atom. The size of the total moment is 0.50 μB per formula unit.

The space group is I4mm (No. 107) and the conventional cell measures 2.6133, 2.6133 and 10.8121 Å, with angles of 90.00, 90.00 and 90.00 degrees. The asymmetric unit holds Cr at (0.0000, 0.0000, 0.0000), Fe at (0.0000, 0.0000, 0.6560) and Os at (0.0000, 0.0000, 0.3225).

Question: Which value of calculated total energy does entry 1 give?
Answer: -277.60 eV per cell